# MnTcB2F PBE+U relaxed
# Mass density   4.66 Mg/m³
# Final energy   -31.37 eV/f.u.
# Total magnetic moment   4.96 μB/f.u.
data_MnTcB2F
_symmetry_space_group_name_H-M 'P 1'
_symmetry_Int_Tables_number 1
_cell_length_a 4.060
_cell_length_b 4.185
_cell_length_c 4.060
_cell_angle_alpha 90.00
_cell_angle_beta 90.00
_cell_angle_gamma 90.00
loop_
_symmetry_equiv_pos_as_xyz
'x,y,z'
loop_
_atom_site_label
_atom_site_type_symbol
_atom_site_fract_x
_atom_site_fract_y
_atom_site_fract_z
_atom_site_occupancy
B1 B 0.000 0.000 0.500 1
B2 B 0.500 0.000 0.000 1
Mn1 Mn 0.500 0.500 0.500 1
Tc1 Tc 0.000 0.000 0.000 1
F1 F 0.000 0.500 0.000 1